Record 1
Sr2LiSe after structural relaxation. Source: the Alexandria database, functional PBE.

Cell and atoms, written as CIF:
```
data_Sr2LiSe
_chemical_formula_sum 'Sr2 Li1 Se1'
_symmetry_space_group_name_H-M 'P 1'
_symmetry_Int_Tables_number 1
_symmetry_space_group_name_Hall 'P 1'
_cell_length_a 7.2041
_cell_length_b 7.2041
_cell_length_c 7.2041
_cell_angle_alpha 143.25
_cell_angle_beta 143.25
_cell_angle_gamma 52.95
loop_
_atom_site_label
_atom_site_type_symbol
_atom_site_fract_x
_atom_site_fract_y
_atom_site_fract_z
Li1 Li 0.5000 0.5000 0.0000
Se1 Se 0.7500 0.2500 0.5000
Sr1 Sr 0.0000 0.0000 0.0000
Sr2 Sr 0.2500 0.7500 0.5000
```

Properties
volume: 33.26 A^3/atom
uncorrected formation energy: -0.65 eV per atom
space-group type: I-4m2
crystal system: tetragonal
calculated density: 3.259 g cm⁻³

Record 2
Sr2LiSe after structural relaxation. Source: the Alexandria database, functional PBE.

Cell and atoms, written as CIF:
```
data_Sr2LiSe
_chemical_formula_sum 'Sr4 Li2 Se2'
_symmetry_space_group_name_H-M 'P 1'
_symmetry_Int_Tables_number 1
_symmetry_space_group_name_Hall 'P 1'
_cell_length_a 8.6699
_cell_length_b 8.6699
_cell_length_c 7.4668
_cell_angle_alpha 54.51
_cell_angle_beta 54.51
_cell_angle_gamma 90.00
loop_
_atom_site_label
_atom_site_type_symbol
_atom_site_fract_x
_atom_site_fract_y
_atom_site_fract_z
Sr1 Sr 0.6709 0.1250 0.2500
Sr2 Sr 0.0791 0.6250 0.2500
Sr3 Sr 0.3750 0.3291 0.7500
Sr4 Sr 0.8750 0.9209 0.7500
Se1 Se 0.0000 0.0000 0.0000
Se2 Se 0.7500 0.2500 0.5000
Li1 Li 0.5000 0.5000 0.0000
Li2 Li 0.2500 0.7500 0.5000
```

Properties
volume: 40.05 A^3/atom
uncorrected formation energy: -0.70 eV per atom
space-group type: I-42d
crystal system: tetragonal
calculated density: 2.707 g cm⁻³

Record 3
Sr3LiSe after structural relaxation. Source: the Alexandria database, functional PBE.

Cell and atoms, written as CIF:
```
data_Sr3LiSe
_chemical_formula_sum 'Sr3 Li1 Se1'
_symmetry_space_group_name_H-M 'P 1'
_symmetry_Int_Tables_number 1
_symmetry_space_group_name_Hall 'P 1'
_cell_length_a 6.0678
_cell_length_b 6.0678
_cell_length_c 6.0678
_cell_angle_alpha 90.00
_cell_angle_beta 90.00
_cell_angle_gamma 90.00
loop_
_atom_site_label
_atom_site_type_symbol
_atom_site_fract_x
_atom_site_fract_y
_atom_site_fract_z
Sr1 Sr 0.0000 0.5000 0.0000
Sr2 Sr 0.0000 0.0000 0.5000
Sr3 Sr 0.5000 0.0000 0.0000
Se1 Se 0.0000 0.0000 0.0000
Li1 Li 0.5000 0.5000 0.5000
```

Properties
polymorph energy (0 for the lowest one): 0.00 eV per formula unit
volume: 44.68 A^3/atom
uncorrected formation energy: -0.63 eV per atom
space-group type: Pm-3m
crystal system: cubic
calculated density: 2.592 g cm⁻³

Record 4
SrLiSe after structural relaxation. Source: the Alexandria database, functional PBE.

Cell and atoms, written as CIF:
```
data_SrLiSe
_chemical_formula_sum 'Sr1 Li1 Se1'
_symmetry_space_group_name_H-M 'P 1'
_symmetry_Int_Tables_number 1
_symmetry_space_group_name_Hall 'P 1'
_cell_length_a 4.3305
_cell_length_b 4.3305
_cell_length_c 4.5679
_cell_angle_alpha 90.00
_cell_angle_beta 90.00
_cell_angle_gamma 120.00
loop_
_atom_site_label
_atom_site_type_symbol
_atom_site_fract_x
_atom_site_fract_y
_atom_site_fract_z
Li1 Li 0.0000 0.0000 0.1670
Se1 Se 0.6667 0.3333 0.1662
Sr1 Sr 0.3333 0.6667 0.6668
```

Properties
polymorph energy (0 for the lowest one): 0.00 eV per formula unit
volume: 24.73 A^3/atom
uncorrected formation energy: -1.20 eV per atom
space-group type: P-6m2
crystal system: hexagonal
calculated density: 3.884 g cm⁻³

Record 5
Sr2LiSe after structural relaxation. Source: the Alexandria database, functional PBE.

Cell and atoms, written as CIF:
```
data_Sr2LiSe
_chemical_formula_sum 'Sr2 Li1 Se1'
_symmetry_space_group_name_H-M 'P 1'
_symmetry_Int_Tables_number 1
_symmetry_space_group_name_Hall 'P 1'
_cell_length_a 5.7306
_cell_length_b 5.7306
_cell_length_c 5.7306
_cell_angle_alpha 60.00
_cell_angle_beta 60.00
_cell_angle_gamma 60.00
loop_
_atom_site_label
_atom_site_type_symbol
_atom_site_fract_x
_atom_site_fract_y
_atom_site_fract_z
Li1 Li 0.5000 0.5000 0.5000
Se1 Se 0.7500 0.7500 0.7500
Sr1 Sr 0.0000 0.0000 0.0000
Sr2 Sr 0.2500 0.2500 0.2500
```

Properties
volume: 33.27 A^3/atom
uncorrected formation energy: -0.21 eV per atom
space-group type: F-43m
crystal system: cubic
calculated density: 3.259 g cm⁻³

Record 6
SrLi2Se after structural relaxation. Source: the Alexandria database, functional PBE.

Cell and atoms, written as CIF:
```
data_SrLi2Se
_chemical_formula_sum 'Sr1 Li2 Se1'
_symmetry_space_group_name_H-M 'P 1'
_symmetry_Int_Tables_number 1
_symmetry_space_group_name_Hall 'P 1'
_cell_length_a 4.0961
_cell_length_b 4.0119
_cell_length_c 6.6341
_cell_angle_alpha 71.94
_cell_angle_beta 90.00
_cell_angle_gamma 90.00
loop_
_atom_site_label
_atom_site_type_symbol
_atom_site_fract_x
_atom_site_fract_y
_atom_site_fract_z
Li1 Li 0.0000 0.9838 0.1611
Li2 Li 0.5000 0.4586 0.2126
Se1 Se 0.0000 0.3346 0.4541
Sr1 Sr 0.5000 0.7230 0.6722
```

Properties
volume: 25.91 A^3/atom
uncorrected formation energy: -0.89 eV per atom
space-group type: Pm
crystal system: monoclinic
calculated density: 2.891 g cm⁻³

Record 7
SrLi2Se after structural relaxation. Source: the Alexandria database, functional PBE.

Cell and atoms, written as CIF:
```
data_SrLi2Se
_chemical_formula_sum 'Sr1 Li2 Se1'
_symmetry_space_group_name_H-M 'P 1'
_symmetry_Int_Tables_number 1
_symmetry_space_group_name_Hall 'P 1'
_cell_length_a 3.8403
_cell_length_b 3.8403
_cell_length_c 6.8897
_cell_angle_alpha 90.00
_cell_angle_beta 90.00
_cell_angle_gamma 90.00
loop_
_atom_site_label
_atom_site_type_symbol
_atom_site_fract_x
_atom_site_fract_y
_atom_site_fract_z
Li1 Li 0.0000 0.0000 0.0832
Li2 Li 0.5000 0.5000 0.2563
Se1 Se 0.0000 0.0000 0.4568
Sr1 Sr 0.5000 0.5000 0.7038
```

Properties
volume: 25.40 A^3/atom
uncorrected formation energy: -0.79 eV per atom
space-group type: P4mm
crystal system: tetragonal
calculated density: 2.949 g cm⁻³

Record 8
SrLi2Se after structural relaxation. Source: the Alexandria database, functional PBE.

Cell and atoms, written as CIF:
```
data_SrLi2Se
_chemical_formula_sum 'Sr1 Li2 Se1'
_symmetry_space_group_name_H-M 'P 1'
_symmetry_Int_Tables_number 1
_symmetry_space_group_name_Hall 'P 1'
_cell_length_a 7.2357
_cell_length_b 7.2357
_cell_length_c 4.3169
_cell_angle_alpha 107.23
_cell_angle_beta 107.23
_cell_angle_gamma 34.68
loop_
_atom_site_label
_atom_site_type_symbol
_atom_site_fract_x
_atom_site_fract_y
_atom_site_fract_z
Li1 Li 0.0577 0.0577 0.0573
Li2 Li 0.4423 0.4423 0.4427
Se1 Se 0.2500 0.2500 0.2500
Sr1 Sr 0.7500 0.7500 0.7500
```

Properties
volume: 30.56 A^3/atom
uncorrected formation energy: -0.87 eV per atom
space-group type: C2/m
crystal system: monoclinic
calculated density: 2.451 g cm⁻³

Record 9
SrLiSe after structural relaxation. Source: the Alexandria database, functional PBE.

Cell and atoms, written as CIF:
```
data_SrLiSe
_chemical_formula_sum 'Sr6 Li6 Se6'
_symmetry_space_group_name_H-M 'P 1'
_symmetry_Int_Tables_number 1
_symmetry_space_group_name_Hall 'P 1'
_cell_length_a 7.1988
_cell_length_b 9.7370
_cell_length_c 9.7370
_cell_angle_alpha 49.95
_cell_angle_beta 68.31
_cell_angle_gamma 68.31
loop_
_atom_site_label
_atom_site_type_symbol
_atom_site_fract_x
_atom_site_fract_y
_atom_site_fract_z
Sr1 Sr 0.2464 0.9706 0.4706
Sr2 Sr 0.6875 0.0294 0.5294
Sr3 Sr 0.6860 0.5297 0.0297
Sr4 Sr 0.2454 0.4703 0.9703
Sr5 Sr 0.8362 0.2501 0.7501
Sr6 Sr 0.8363 0.7499 0.2499
Li1 Li 0.4749 0.5000 0.5000
Li2 Li 0.4749 0.0000 0.0000
Li3 Li 0.2436 0.8973 0.8960
Li4 Li 0.0369 0.1027 0.1040
Li5 Li 0.0369 0.6040 0.6027
Li6 Li 0.2436 0.3960 0.3973
Se1 Se 0.2620 0.7489 0.2489
Se2 Se 0.2599 0.2511 0.7511
Se3 Se 0.6291 0.6343 0.6342
Se4 Se 0.8976 0.3657 0.3658
Se5 Se 0.8976 0.8658 0.8657
Se6 Se 0.6291 0.1342 0.1343
```

Properties
polymorph energy (0 for the lowest one): 0.28 eV per formula unit
volume: 26.50 A^3/atom
uncorrected formation energy: -1.11 eV per atom
space-group type: Ima2
crystal system: orthorhombic
calculated density: 3.624 g cm⁻³

Record 10
SrLi2Se after structural relaxation. Source: the Alexandria database, functional PBE.

Cell and atoms, written as CIF:
```
data_SrLi2Se
_chemical_formula_sum 'Sr1 Li2 Se1'
_symmetry_space_group_name_H-M 'P 1'
_symmetry_Int_Tables_number 1
_symmetry_space_group_name_Hall 'P 1'
_cell_length_a 7.3084
_cell_length_b 7.3084
_cell_length_c 7.3084
_cell_angle_alpha 150.27
_cell_angle_beta 146.20
_cell_angle_gamma 45.62
loop_
_atom_site_label
_atom_site_type_symbol
_atom_site_fract_x
_atom_site_fract_y
_atom_site_fract_z
Li1 Li 0.0243 0.0243 0.0000
Li2 Li 0.6454 0.1454 0.5000
Se1 Se 0.5101 0.5101 0.0000
Sr1 Sr 0.3202 0.8202 0.5000
```

Properties
volume: 26.83 A^3/atom
uncorrected formation energy: -0.71 eV per atom
space-group type: Imm2
crystal system: orthorhombic
calculated density: 2.792 g cm⁻³

Record 11
Sr2LiSe after structural relaxation. Source: the Alexandria database, functional PBE.

Cell and atoms, written as CIF:
```
data_Sr2LiSe
_chemical_formula_sum 'Sr2 Li1 Se1'
_symmetry_space_group_name_H-M 'P 1'
_symmetry_Int_Tables_number 1
_symmetry_space_group_name_Hall 'P 1'
_cell_length_a 4.6284
_cell_length_b 4.6373
_cell_length_c 6.5279
_cell_angle_alpha 90.00
_cell_angle_beta 90.00
_cell_angle_gamma 90.00
loop_
_atom_site_label
_atom_site_type_symbol
_atom_site_fract_x
_atom_site_fract_y
_atom_site_fract_z
Li1 Li 0.0000 0.0000 0.3733
Se1 Se 0.5000 0.5000 0.8759
Sr1 Sr 0.0000 0.0000 0.8742
Sr2 Sr 0.5000 0.5000 0.3767
```

Properties
volume: 35.03 A^3/atom
uncorrected formation energy: -0.74 eV per atom
space-group type: P4mm
crystal system: tetragonal
calculated density: 3.095 g cm⁻³

Record 12
SrLiSe after structural relaxation. Source: the Alexandria database, functional PBE.

Cell and atoms, written as CIF:
```
data_SrLiSe
_chemical_formula_sum 'Sr1 Li1 Se1'
_symmetry_space_group_name_H-M 'P 1'
_symmetry_Int_Tables_number 1
_symmetry_space_group_name_Hall 'P 1'
_cell_length_a 6.1709
_cell_length_b 6.0283
_cell_length_c 3.7998
_cell_angle_alpha 73.91
_cell_angle_beta 69.82
_cell_angle_gamma 36.27
loop_
_atom_site_label
_atom_site_type_symbol
_atom_site_fract_x
_atom_site_fract_y
_atom_site_fract_z
Li1 Li 0.9541 0.9541 0.0459
Se1 Se 0.3627 0.3627 0.6373
Sr1 Sr 0.6832 0.6832 0.3168
```

Properties
polymorph energy (0 for the lowest one): 0.78 eV per formula unit
volume: 26.16 A^3/atom
uncorrected formation energy: -0.94 eV per atom
space-group type: Fmm2
crystal system: orthorhombic
calculated density: 3.671 g cm⁻³